The following is a PBE-GGA calculation of crystalline PaZnGePd at its relaxed geometry, from Alexandria via LeMat-Bulk.

Cell and atoms, written as CIF:
```
data_PaZnGePd
_symmetry_space_group_name_H-M 'F -4 3 m'
_symmetry_Int_Tables_number 216
_symmetry_space_group_name_Hall 'F -4 2 3'
_cell_length_a 6.740
_cell_length_b 6.740
_cell_length_c 6.740
_cell_angle_alpha 90.00
_cell_angle_beta 90.00
_cell_angle_gamma 90.00
loop_
_atom_site_label
_atom_site_fract_x
_atom_site_fract_y
_atom_site_fract_z
_atom_site_occupancy
Pa1 0.000 0.000 0.000 1
Zn1 0.000 0.000 0.500 1
Ge1 0.250 0.250 0.750 1
Pd1 0.250 0.250 0.250 1
```

Properties
formation enthalpy at 0 K	-315	meV/atom

The following is a PBE-GGA calculation of crystalline Pa2ZnGe4Pd3 at its relaxed geometry, from Alexandria via LeMat-Bulk.

Cell and atoms, written as CIF:
```
data_Pa2ZnGe4Pd3
_symmetry_space_group_name_H-M 'P -4 m 2'
_symmetry_Int_Tables_number 115
_cell_length_a 4.166
_cell_length_b 4.166
_cell_length_c 10.704
_cell_angle_alpha 90.00
_cell_angle_beta 90.00
_cell_angle_gamma 90.00
loop_
_symmetry_equiv_pos_as_xyz
'x,y,z'
'y,-x,-z'
'-x,-y,z'
'-y,x,-z'
'-x,y,z'
'-y,-x,-z'
'x,-y,z'
'y,x,-z'
loop_
_atom_site_label
_atom_site_fract_x
_atom_site_fract_y
_atom_site_fract_z
_atom_site_occupancy
Pa1 0.000 0.500 0.246 1
Zn1 0.500 0.500 0.000 1
Ge1 0.000 0.000 0.500 1
Ge2 0.000 0.500 0.863 1
Ge3 0.500 0.500 0.500 1
Pd1 0.000 0.000 0.000 1
Pd2 0.000 0.500 0.637 1
```

Properties
formation enthalpy at 0 K	-501	meV/atom

The following is a PBE-GGA calculation of crystalline PmPaGe2 at its relaxed geometry, from Alexandria via LeMat-Bulk.

Cell and atoms, written as CIF:
```
data_PmPaGe2
_symmetry_space_group_name_H-M 'F m -3 m'
_symmetry_Int_Tables_number 225
_symmetry_space_group_name_Hall '-F 4 2 3'
_cell_length_a 7.190
_cell_length_b 7.190
_cell_length_c 7.190
_cell_angle_alpha 90.00
_cell_angle_beta 90.00
_cell_angle_gamma 90.00
loop_
_atom_site_label
_atom_site_fract_x
_atom_site_fract_y
_atom_site_fract_z
_atom_site_occupancy
Pm1 0.000 0.000 0.000 1
Pa1 0.000 0.000 0.500 1
Ge1 0.250 0.250 0.250 1
```

Properties
distance to the lowest polymorph of the same formula	225.7	meV per atom
formation enthalpy at 0 K	-396	meV/atom

The following is a PBE-GGA calculation of crystalline PmPaGe2 at its relaxed geometry, from Alexandria via LeMat-Bulk.

Cell and atoms, written as CIF:
```
data_PmPaGe2
_symmetry_space_group_name_H-M 'R -3 m'
_symmetry_Int_Tables_number 166
_symmetry_space_group_name_Hall '-R 3 2"'
_cell_length_a 4.2140
_cell_length_b 4.2140
_cell_length_c 20.5161
_cell_angle_alpha 90.00
_cell_angle_beta 90.00
_cell_angle_gamma 120.00
loop_
_atom_site_label
_atom_site_fract_x
_atom_site_fract_y
_atom_site_fract_z
_atom_site_occupancy
Pm1 0.0000 0.0000 0.0000 1
Pa1 0.0000 0.0000 0.5000 1
Ge1 0.0000 0.0000 0.2444 1
```

Properties
distance to the lowest polymorph of the same formula	0.0	meV per atom
formation enthalpy at 0 K	-621	meV/atom

The following is a PBE-GGA calculation of crystalline PmPa5Ge6 at its relaxed geometry, from Alexandria via LeMat-Bulk.

Cell and atoms, written as CIF:
```
data_PmPa5Ge6
_symmetry_space_group_name_H-M 'C 1 2/m 1'
_symmetry_Int_Tables_number 12
_cell_length_a 7.198
_cell_length_b 12.465
_cell_length_c 7.198
_cell_angle_alpha 90.00
_cell_angle_beta 109.45
_cell_angle_gamma 90.00
loop_
_symmetry_equiv_pos_as_xyz
'x,y,z'
'-x,-y,-z'
'-x,y,-z'
'x,-y,z'
'x+1/2,y+1/2,z'
'-x+1/2,-y+1/2,-z'
'-x+1/2,y+1/2,-z'
'x+1/2,-y+1/2,z'
loop_
_atom_site_label
_atom_site_fract_x
_atom_site_fract_y
_atom_site_fract_z
_atom_site_occupancy
Pm1 0.000 0.000 0.000 1
Pa1 0.000 0.165 0.500 1
Pa2 0.000 0.333 0.000 1
Pa3 0.000 0.500 0.500 1
Ge1 0.244 0.500 0.253 1
Ge2 0.245 0.330 0.745 1
```

Properties
formation enthalpy at 0 K	-496	meV/atom

The following is a PBE-GGA calculation of crystalline Pm3PaGe5 at its relaxed geometry, from Alexandria via LeMat-Bulk.

Cell and atoms, written as CIF:
```
data_Pm3PaGe5
_symmetry_space_group_name_H-M 'P 63/m c m'
_symmetry_Int_Tables_number 193
_symmetry_space_group_name_Hall '-P 6c 2'
_cell_length_a 9.0135
_cell_length_b 9.0135
_cell_length_c 6.0515
_cell_angle_alpha 90.00
_cell_angle_beta 90.00
_cell_angle_gamma 120.00
loop_
_atom_site_label
_atom_site_fract_x
_atom_site_fract_y
_atom_site_fract_z
_atom_site_occupancy
Pm1 0.0000 0.3830 0.2500 1
Pa1 0.0000 0.0000 0.0000 1
Ge1 0.0000 0.2818 0.7500 1
Ge2 0.3333 0.6667 0.0000 1
```

Properties
formation enthalpy at 0 K	-574	meV/atom

The following is a PBE-GGA calculation of crystalline PmPaGe2 at its relaxed geometry, from Alexandria via LeMat-Bulk.

Cell and atoms, written as CIF:
```
data_PmPaGe2
_symmetry_space_group_name_H-M 'P 4/m m m'
_symmetry_Int_Tables_number 123
_symmetry_space_group_name_Hall '-P 4 2'
_cell_length_a 3.360
_cell_length_b 3.360
_cell_length_c 8.091
_cell_angle_alpha 90.00
_cell_angle_beta 90.00
_cell_angle_gamma 90.00
loop_
_atom_site_label
_atom_site_fract_x
_atom_site_fract_y
_atom_site_fract_z
_atom_site_occupancy
Pm1 0.000 0.000 0.000 1
Pa1 0.000 0.000 0.500 1
Ge1 0.500 0.500 0.257 1
```

Properties
distance to the lowest polymorph of the same formula	133.9	meV per atom
formation enthalpy at 0 K	-487	meV/atom

The following is a PBE-GGA calculation of crystalline Pm5PaGe4 at its relaxed geometry, from Alexandria via LeMat-Bulk.

Cell and atoms, written as CIF:
```
data_Pm5PaGe4
_symmetry_space_group_name_H-M 'C 1 2/m 1'
_symmetry_Int_Tables_number 12
_cell_length_a 18.277
_cell_length_b 4.206
_cell_length_c 8.257
_cell_angle_alpha 90.00
_cell_angle_beta 104.45
_cell_angle_gamma 90.00
loop_
_symmetry_equiv_pos_as_xyz
'x,y,z'
'-x,-y,-z'
'-x,y,-z'
'x,-y,z'
'x+1/2,y+1/2,z'
'-x+1/2,-y+1/2,-z'
'-x+1/2,y+1/2,-z'
'x+1/2,-y+1/2,z'
loop_
_atom_site_label
_atom_site_fract_x
_atom_site_fract_y
_atom_site_fract_z
_atom_site_occupancy
Pm1 0.000 0.000 0.000 1
Pm2 0.166 0.500 0.840 1
Pm3 0.167 0.500 0.341 1
Pa1 0.000 0.000 0.500 1
Ge1 0.001 0.500 0.745 1
Ge2 0.166 0.000 0.593 1
```

Properties
formation enthalpy at 0 K	-501	meV/atom

The calculation returns the following final energy values, one per record and in order: -87.37 -59.33 -100.25 -77.90 -171.78 -104.00 -25.43 -113.45 eV per cell.
The calculation returns the following ρ values, one per record and in order: 10.3 10.2 9.3 8.2 9.5 8.0 9.5 6.7 g cm⁻³.